[1]
The following is a SCAN calculation of a PBEsol-optimized structure of ScCuW2O8, from the Alexandria database.

Values from the calculation:
Raw total energy in eV/atom: -20.6087

```
data_ScCuW2O8
_cell_length_a 9.480
_cell_length_b 11.502
_cell_length_c 4.952
_cell_angle_alpha 90.00
_cell_angle_beta 91.17
_cell_angle_gamma 90.00
_symmetry_space_group_name_H-M 'C 1 2/c 1'
_symmetry_Int_Tables_number 15
_symmetry_space_group_name_Hall '-C 2yc'
loop_
_atom_site_label
_atom_site_fract_x
_atom_site_fract_y
_atom_site_fract_z
_atom_site_occupancy
Sc1 0.000 0.163 0.250 1
Cu1 0.000 0.333 0.750 1
W1 0.241 0.413 0.249 1
O1 0.117 0.310 0.101 1
O2 0.126 0.182 0.597 1
O3 0.140 0.448 0.566 1
O4 0.144 0.055 0.066 1
```

***

[2]
The following is a SCAN calculation of a PBEsol-optimized structure of La2MgCd, from the Alexandria database.

Values from the calculation:
Formation energy in kJ/mol of formula units: -79

```
data_La2MgCd
_cell_length_a 4.706
_cell_length_b 4.706
_cell_length_c 10.159
_cell_angle_alpha 90.00
_cell_angle_beta 90.00
_cell_angle_gamma 90.00
_symmetry_space_group_name_H-M 'I -4 m 2'
_symmetry_Int_Tables_number 119
_symmetry_space_group_name_Hall 'I -4 -2'
loop_
_atom_site_label
_atom_site_fract_x
_atom_site_fract_y
_atom_site_fract_z
_atom_site_occupancy
La1 0.000 0.000 0.000 1
La2 0.000 0.500 0.250 1
Mg1 0.000 0.000 0.500 1
Cd1 0.000 0.500 0.750 1
```

***

[3]
The following is a SCAN calculation of a PBEsol-optimized structure of KNi2Hg, from the Alexandria database.

Values from the calculation:
Formation energy in kJ/mol of formula units: 326

```
data_KNi2Hg
_cell_length_a 3.994
_cell_length_b 3.994
_cell_length_c 8.721
_cell_angle_alpha 90.00
_cell_angle_beta 90.00
_cell_angle_gamma 90.00
_symmetry_space_group_name_H-M 'I -4 m 2'
_symmetry_Int_Tables_number 119
_symmetry_space_group_name_Hall 'I -4 -2'
loop_
_atom_site_label
_atom_site_fract_x
_atom_site_fract_y
_atom_site_fract_z
_atom_site_occupancy
K1 0.000 0.000 0.000 1
Ni1 0.000 0.000 0.500 1
Ni2 0.000 0.500 0.250 1
Hg1 0.000 0.500 0.750 1
```

***

[4]
The following is a SCAN calculation of a PBEsol-optimized structure of LaMnP3, from the Alexandria database.

Values from the calculation:
Formation energy in kJ/mol of formula units: 468
E above lowest polymorph in meV/atom: 1548

```
data_LaMnP3
_cell_length_a 5.231
_cell_length_b 5.231
_cell_length_c 5.231
_cell_angle_alpha 90.00
_cell_angle_beta 90.00
_cell_angle_gamma 90.00
_symmetry_space_group_name_H-M 'P m -3 m'
_symmetry_Int_Tables_number 221
_symmetry_space_group_name_Hall '-P 4 2 3'
loop_
_atom_site_label
_atom_site_fract_x
_atom_site_fract_y
_atom_site_fract_z
_atom_site_occupancy
La1 0.000 0.000 0.000 1
Mn1 0.500 0.500 0.500 1
P1 0.000 0.000 0.500 1
```

***

[5]
The following is a SCAN calculation of a PBEsol-optimized structure of Y2NiBS, from the Alexandria database.

Values from the calculation:
Raw total energy in eV/atom: -18.6219

```
data_Y2NiBS
_cell_length_a 4.949
_cell_length_b 4.949
_cell_length_c 3.678
_cell_angle_alpha 90.00
_cell_angle_beta 90.00
_cell_angle_gamma 90.00
_symmetry_space_group_name_H-M 'P 4/m m m'
_symmetry_Int_Tables_number 123
_symmetry_space_group_name_Hall '-P 4 2'
loop_
_atom_site_label
_atom_site_fract_x
_atom_site_fract_y
_atom_site_fract_z
_atom_site_occupancy
Y1 0.000 0.500 0.000 1
Ni1 0.000 0.000 0.500 1
B1 0.000 0.000 0.000 1
S1 0.500 0.500 0.500 1
```

***

[6]
The following is a SCAN calculation of a PBEsol-optimized structure of ScReTe2N, from the Alexandria database.

Values from the calculation:
Raw total energy in eV/atom: -33.8742

```
data_ScReTe2N
_cell_length_a 5.384
_cell_length_b 5.384
_cell_length_c 3.723
_cell_angle_alpha 90.00
_cell_angle_beta 90.00
_cell_angle_gamma 90.00
_symmetry_space_group_name_H-M 'P 4/m m m'
_symmetry_Int_Tables_number 123
_symmetry_space_group_name_Hall '-P 4 2'
loop_
_atom_site_label
_atom_site_fract_x
_atom_site_fract_y
_atom_site_fract_z
_atom_site_occupancy
Sc1 0.000 0.000 0.000 1
Re1 0.500 0.500 0.500 1
Te1 0.000 0.500 0.500 1
N1 0.500 0.500 0.000 1
```